SiTcAu2 after structural relaxation, computed with GGA-PBE.

Output
raw formation energy	0.2	eV/f.u.
space-group type	Pmm2
DFT total energy	-0.2033	Ha/atom

Unit cell a=3.0587 b=3.0949 c=6.7522 alpha=90.00 beta=90.00 gamma=90.00
Fractional coordinates of all 4 atoms:
Si (0.0000, 0.0000, 0.5355)
Tc (0.5000, 0.5000, 0.7017)
Au (0.0000, 0.0000, 0.9855)
Au (0.5000, 0.5000, 0.2773)